No. 1
Here is crystalline FePt2W at its relaxed geometry from the Alexandria database. Energies are from GGA-PBE.

## Properties
Its formation energy is -0.216 eV per atom. The calculation puts the energy at -8.59 eV/atom. Its crystal system is tetragonal.

a = 3.829 Å, b = 3.829 Å, c = 7.980 Å
α = 90.00°, β = 90.00°, γ = 90.00°
Space group I4/mmm (No. 139)
Unique sites:
Fe  0.000  0.000  0.000 [2 per cell]
Pt  0.000  0.500  0.250 [4 per cell]
W  0.000  0.000  0.500 [2 per cell]


No. 2
Here is crystalline Fe2PtW at its relaxed geometry from the Alexandria database. Energies are from GGA-PBE.

## Properties
As for the polymorph energy (0 for the lowest one): 125 meV per atom. Its formation energy is 0.027 eV per atom. The calculation puts the energy at -8.95 eV/atom. Its crystal system is orthorhombic.

a = 3.486 Å, b = 4.026 Å, c = 7.983 Å
α = 90.00°, β = 90.00°, γ = 90.00°
Space group Cmmm (No. 65)
Unique sites:
Fe  0.000  0.000  0.245 [4 per cell]
Pt  0.000  0.500  0.000 [2 per cell]
W  0.000  0.500  0.500 [2 per cell]